A plane-wave DFT calculation with PBE was carried out for a geometry-optimized La3Y4Te8 structure.

The structure belongs to space group C2/m (No. 12); the cell edges are 12.598, 12.611 and 8.874 Å and the angles 90.00°, 134.68° and 90.00°. The inequivalent atoms are La at (0.000, 0.000, 0.000), La at (0.250, 0.250, 0.000), Y at (0.000, 0.500, 0.000), Y at (0.000, 0.500, 0.500), Y at (0.250, 0.250, 0.500), Te at (0.000, 0.250, 0.500), Te at (0.000, 0.255, 0.000), Te at (0.244, 0.500, 0.999) and Te at (0.246, 0.500, 0.490).

The raw formation energy is -1.47 eV/atom.

A plane-wave DFT calculation with PBE was carried out for a geometry-optimized CuNiAs2 structure.

The structure belongs to space group Imm2 (No. 44); the cell edges are 2.796, 3.696 and 12.001 Å and the angles 90.00°, 90.00° and 90.00°. The inequivalent atoms are Cu at (0.000, 0.000, 0.000), Ni at (0.000, 0.500, 0.722), As at (0.000, 0.000, 0.393) and As at (0.000, 0.500, 0.152).

As for the formation energy: 0.03 eV per atom.

A plane-wave DFT calculation with PBE was carried out for a geometry-optimized BaTaPb structure.

The structure belongs to space group Imm2 (No. 44); the cell edges are 3.779, 4.045 and 12.404 Å and the angles 90.00°, 90.00° and 90.00°. The inequivalent atoms are Ba at (0.000, 0.000, 0.000), Ta at (0.000, 0.000, 0.288) and Pb at (0.000, 0.000, 0.721).

As for the formation energy: 0.61 eV per atom.

A plane-wave DFT calculation with PBE was carried out for a geometry-optimized Sc2PdRu structure.

The structure belongs to space group I-42d (No. 122); the cell edges are 7.019, 7.019 and 6.012 Å and the angles 90.00°, 90.00° and 90.00°. The inequivalent atoms are Sc at (0.240, 0.750, 0.125), Pd at (0.000, 0.000, 0.500) and Ru at (0.000, 0.000, 0.000).

As for the formation energy: -0.30 eV per atom.

A plane-wave DFT calculation with PBE was carried out for a geometry-optimized La3Sm2ThS6 structure.

The structure belongs to space group C2/m (No. 12); the cell edges are 17.822, 4.085 and 8.177 Å and the angles 90.00°, 103.43° and 90.00°. The inequivalent atoms are La at (0.000, 0.000, 0.000), La at (0.166, 0.500, 0.333), Sm at (0.166, 0.500, 0.832), Th at (0.000, 0.000, 0.500), S at (0.003, 0.500, 0.747), S at (0.166, 0.000, 0.590) and S at (0.170, 0.000, 0.077).

The raw formation energy is -2.06 eV/atom.

A plane-wave DFT calculation with PBE was carried out for a geometry-optimized Nd6Tm3Sc structure.

The structure belongs to space group R-3 (No. 148, hexagonal axes); the cell edges are 9.8443, 9.8443 and 11.9757 Å and the angles 90.00°, 90.00° and 120.00°. The inequivalent atoms are Nd at (0.0005, 0.3293, 0.0827), Tm at (0.0000, 0.0000, 0.2457), Tm at (0.0000, 0.0000, 0.5000) and Sc at (0.0000, 0.0000, 0.0000).

As for the formation energy: 0.21 eV per atom.

no.,total energy (eV per formula unit),spin magnetization (μB per formula unit)
1,-87.836,0.000
2,-19.063,0.000
3,-15.654,0.016
4,-28.351,0.000
5,-81.155,0.000
6,-46.260,0.016